# 1
{"formula": "Pm5Pd5Au2", "functional": "PBE", "state": "optimized geometry", "lattice": [[7.8890, -2.0920, 0.0000], [7.8890, 2.0920, 0.0000], [-6.9358, 0.0000, 8.5658]], "species": ["Pm", "Pm", "Pm", "Pm", "Pm", "Pd", "Pd", "Pd", "Pd", "Pd", "Au", "Au"], "fractional_positions": [[0.0000, 0.0000, 0.0000], [0.0960, 0.0960, 0.4180], [0.2064, 0.2064, 0.8305], [0.7936, 0.7936, 0.1695], [0.9040, 0.9040, 0.5820], [0.2771, 0.2771, 0.3403], [0.4229, 0.4229, 0.1539], [0.5000, 0.5000, 0.5000], [0.5771, 0.5771, 0.8461], [0.7229, 0.7229, 0.6597], [0.3627, 0.3627, 0.7417], [0.6373, 0.6373, 0.2583]], "crystal_system": "monoclinic", "dft_energy_ev_per_cell": -65.58, "mass_density_g_cm3": 9.70, "formation_enthalpy_0k_kj_per_mol_atoms": -74.8}


# 2
{"formula": "Er2SbPd8", "functional": "PBE", "state": "optimized geometry", "lattice": [[7.7702, -2.3578, 0.0000], [7.7702, 2.3578, 0.0000], [-2.2434, 0.0000, 5.4691]], "species": ["Er", "Er", "Sb", "Pd", "Pd", "Pd", "Pd", "Pd", "Pd", "Pd", "Pd"], "fractional_positions": [[0.1878, 0.1878, 0.1877], [0.8122, 0.8122, 0.8123], [0.5000, 0.5000, 0.5000], [0.0001, 0.0001, 0.2492], [0.9999, 0.9999, 0.7508], [0.1834, 0.1834, 0.6837], [0.3589, 0.3589, 0.0976], [0.3585, 0.3585, 0.6191], [0.6415, 0.6415, 0.3809], [0.6411, 0.6411, 0.9024], [0.8166, 0.8166, 0.3163]], "crystal_system": "monoclinic", "dft_energy_ev_per_cell": -62.29, "mass_density_g_cm3": 10.84, "formation_energy_uncorrected_ev_per_atom": -0.68}


# 3
{"formula": "CdInW", "functional": "PBE", "state": "optimized geometry", "lattice": [[2.5130, -1.6245, 0.0000], [2.5130, 1.6245, 0.0000], [-0.5614, 0.0000, 15.2543]], "species": ["Cd", "Cd", "In", "In", "W", "W"], "fractional_positions": [[0.1663, 0.1663, 0.0875], [0.8337, 0.8337, 0.9125], [0.3930, 0.3930, 0.2737], [0.6070, 0.6070, 0.7263], [0.2584, 0.2584, 0.5648], [0.7416, 0.7416, 0.4352]], "crystal_system": "monoclinic", "dft_energy_ev_per_cell": -31.67, "mass_density_g_cm3": 10.96, "formation_enthalpy_0k_kj_per_mol_atoms": 24.8}


# 4
{"formula": "ScCdTe2", "functional": "PBE", "state": "optimized geometry", "lattice": [[2.0818, 1.2019, 7.5856], [-2.0818, 1.2019, 7.5856], [0.0000, -2.4038, 7.5856]], "species": ["Sc", "Cd", "Te", "Te"], "fractional_positions": [[0.0000, 0.0000, 0.0000], [0.5000, 0.5000, 0.5000], [0.2576, 0.2576, 0.2576], [0.7424, 0.7424, 0.7424]], "crystal_system": "trigonal", "dft_energy_ev_per_cell": -16.51, "mass_density_g_cm3": 6.02, "formation_energy_uncorrected_ev_per_atom": -0.75}


# 5
{"formula": "Nb2VSe5", "functional": "PBE", "state": "optimized geometry", "lattice": [[0.0000, 6.7204, 6.8316], [2.3034, 0.0000, 6.8316], [2.3034, 6.7204, 0.0000]], "species": ["Nb", "Nb", "V", "Se", "Se", "Se", "Se", "Se"], "fractional_positions": [[0.1886, 0.1886, 0.8114], [0.8114, 0.8114, 0.1886], [0.5000, 0.5000, 0.5000], [0.0000, 0.0000, 0.0000], [0.2203, 0.4611, 0.5389], [0.4611, 0.2203, 0.7797], [0.5389, 0.7797, 0.2203], [0.7797, 0.5389, 0.4611]], "crystal_system": "orthorhombic", "dft_energy_ev_per_cell": -51.47, "mass_density_g_cm3": 4.96, "formation_energy_uncorrected_ev_per_atom": -0.60}


# 6
{"formula": "LiPm2F8", "functional": "PBE", "state": "optimized geometry", "lattice": [[5.3585, -2.1153, 0.0000], [5.3585, 2.1153, 0.0000], [-2.9787, 0.0000, 6.2698]], "species": ["Li", "Pm", "Pm", "F", "F", "F", "F", "F", "F", "F", "F"], "fractional_positions": [[0.0000, 0.0000, 0.0000], [0.1980, 0.1980, 0.7025], [0.8020, 0.8020, 0.2975], [0.0226, 0.0226, 0.3377], [0.2012, 0.2012, 0.0540], [0.3083, 0.3083, 0.4524], [0.4456, 0.4456, 0.8478], [0.5544, 0.5544, 0.1522], [0.6917, 0.6917, 0.5476], [0.7988, 0.7988, 0.9460], [0.9774, 0.9774, 0.6623]], "crystal_system": "monoclinic", "dft_energy_ev_per_cell": -63.97, "mass_density_g_cm3": 5.24, "formation_energy_uncorrected_ev_per_atom": -3.42}


# 7
{"formula": "VGe2Br", "functional": "PBE", "state": "optimized geometry", "lattice": [[-1.8915, 1.8915, 11.4976], [1.8915, -1.8915, 11.4976], [1.8915, 1.8915, -11.4976]], "species": ["V", "V", "Ge", "Ge", "Ge", "Ge", "Br", "Br"], "fractional_positions": [[0.0000, 0.0000, 0.0000], [0.7500, 0.2500, 0.5000], [0.1045, 0.6250, 0.9795], [0.3750, 0.3545, 0.4795], [0.6455, 0.1250, 0.0205], [0.8750, 0.8955, 0.5205], [0.2500, 0.7500, 0.5000], [0.5000, 0.5000, 0.0000]], "crystal_system": "tetragonal", "dft_energy_ev_per_cell": -37.06, "mass_density_g_cm3": 5.57, "formation_energy_uncorrected_ev_per_atom": 0.37}


# 8
{"formula": "Ce2BiI2", "functional": "PBE", "state": "optimized geometry", "lattice": [[2.2676, 1.3092, 11.4655], [-2.2676, 1.3092, 11.4655], [0.0000, -2.6184, 11.4655]], "species": ["Ce", "Ce", "Bi", "I", "I"], "fractional_positions": [[0.1126, 0.1126, 0.1126], [0.8874, 0.8874, 0.8874], [0.5000, 0.5000, 0.5000], [0.2777, 0.2777, 0.2777], [0.7223, 0.7223, 0.7223]], "crystal_system": "trigonal", "dft_energy_ev_per_cell": -24.26, "mass_density_g_cm3": 6.04, "formation_energy_uncorrected_ev_per_atom": -1.08}


# 9
{"formula": "NaMn2AsS4", "functional": "PBE", "state": "optimized geometry", "lattice": [[7.9793, 0.0000, 0.0000], [0.0000, 8.4107, 0.0000], [0.0000, 0.0000, 5.8096]], "species": ["Na", "Na", "Mn", "Mn", "Mn", "Mn", "As", "As", "S", "S", "S", "S", "S", "S", "S", "S"], "fractional_positions": [[0.0000, 0.1313, 0.0000], [0.5000, 0.8687, 0.5000], [0.2298, 0.3454, 0.4635], [0.2702, 0.6546, 0.9635], [0.7298, 0.6546, 0.9635], [0.7702, 0.3454, 0.4635], [0.0000, 0.7837, 0.4712], [0.5000, 0.2163, 0.9712], [0.0000, 0.1758, 0.5091], [0.0000, 0.7778, 0.0716], [0.2338, 0.6303, 0.5393], [0.2662, 0.3697, 0.0393], [0.5000, 0.2222, 0.5716], [0.5000, 0.8242, 0.0091], [0.7338, 0.3697, 0.0393], [0.7662, 0.6303, 0.5393]], "crystal_system": "orthorhombic", "dft_energy_ev_per_cell": -89.83, "mass_density_g_cm3": 2.86, "formation_energy_uncorrected_ev_per_atom": -0.51}


# 10
{"formula": "Nd8Ga3NiI4", "functional": "PBE", "state": "optimized geometry", "lattice": [[7.5149, -4.2885, 0.0000], [7.5149, 4.2885, 0.0000], [-5.0466, 0.0000, 7.7475]], "species": ["Nd", "Nd", "Nd", "Nd", "Nd", "Nd", "Nd", "Nd", "Ga", "Ga", "Ga", "Ni", "I", "I", "I", "I"], "fractional_positions": [[0.2252, 0.7495, 0.6999], [0.2281, 0.2281, 0.7039], [0.2505, 0.7748, 0.3001], [0.2613, 0.2613, 0.2828], [0.7387, 0.7387, 0.7172], [0.7495, 0.2252, 0.6999], [0.7719, 0.7719, 0.2961], [0.7748, 0.2505, 0.3001], [0.0000, 0.5000, 0.5000], [0.5000, 0.0000, 0.5000], [0.5000, 0.5000, 0.5000], [0.0000, 0.0000, 0.5000], [0.0000, 0.0000, 0.0000], [0.0000, 0.5000, 0.0000], [0.5000, 0.0000, 0.0000], [0.5000, 0.5000, 0.0000]], "crystal_system": "monoclinic", "dft_energy_ev_per_cell": -70.60, "mass_density_g_cm3": 6.42, "formation_energy_uncorrected_ev_per_atom": -0.71}


# 11
{"formula": "Y2Tm9Mg", "functional": "PBE", "state": "optimized geometry", "lattice": [[4.9253, 0.0000, 0.0000], [0.0000, 4.9253, 0.0000], [0.0000, 0.0000, 14.8280]], "species": ["Y", "Y", "Tm", "Tm", "Tm", "Tm", "Tm", "Tm", "Tm", "Tm", "Tm", "Mg"], "fractional_positions": [[0.0000, 0.0000, 0.1676], [0.0000, 0.0000, 0.8324], [0.0000, 0.5000, 0.0000], [0.0000, 0.5000, 0.3362], [0.0000, 0.5000, 0.6638], [0.5000, 0.0000, 0.0000], [0.5000, 0.0000, 0.3362], [0.5000, 0.0000, 0.6638], [0.5000, 0.5000, 0.1716], [0.5000, 0.5000, 0.5000], [0.5000, 0.5000, 0.8284], [0.0000, 0.0000, 0.5000]], "crystal_system": "tetragonal", "dft_energy_ev_per_cell": -54.42, "mass_density_g_cm3": 7.95, "formation_enthalpy_0k_kj_per_mol_atoms": 2.8}


# 12
{"formula": "Sm12Y2Th", "functional": "PBE", "state": "optimized geometry", "lattice": [[3.5604, -5.7794, 0.0000], [3.5604, 5.7794, 0.0000], [0.0000, 0.0000, 24.9040]], "species": ["Sm", "Sm", "Sm", "Sm", "Sm", "Sm", "Sm", "Sm", "Sm", "Sm", "Sm", "Sm", "Sm", "Sm", "Sm", "Sm", "Sm", "Sm", "Sm", "Sm", "Sm", "Sm", "Sm", "Sm", "Y", "Y", "Y", "Y", "Th", "Th"], "fractional_positions": [[0.0010, 0.5010, 0.1265], [0.0014, 0.9986, 0.9250], [0.0173, 0.5173, 0.5858], [0.0226, 0.9774, 0.4399], [0.2500, 0.2500, 0.2000], [0.2500, 0.2500, 0.3259], [0.2500, 0.2500, 0.6741], [0.2500, 0.2500, 0.8000], [0.4774, 0.5226, 0.4399], [0.4827, 0.9827, 0.5858], [0.4986, 0.5014, 0.9250], [0.4990, 0.9990, 0.1265], [0.5010, 0.0010, 0.8735], [0.5014, 0.4986, 0.0750], [0.5173, 0.0173, 0.4142], [0.5226, 0.4774, 0.5601], [0.7500, 0.7500, 0.2000], [0.7500, 0.7500, 0.3259], [0.7500, 0.7500, 0.6741], [0.7500, 0.7500, 0.8000], [0.9774, 0.0226, 0.5601], [0.9827, 0.4827, 0.4142], [0.9986, 0.0014, 0.0750], [0.9990, 0.4990, 0.8735], [0.2500, 0.7500, 0.2711], [0.2500, 0.7500, 0.7336], [0.7500, 0.2500, 0.2664], [0.7500, 0.2500, 0.7289], [0.2500, 0.7500, 0.0007], [0.7500, 0.2500, 0.9993]], "crystal_system": "orthorhombic", "dft_energy_ev_per_cell": -148.85, "mass_density_g_cm3": 7.17, "formation_enthalpy_0k_kj_per_mol_atoms": 16.4}